Material: MnCd3Co
Method: DFT, PBEsol
State: relaxed

```
MnCd3Co
1.0
4.804 0.000 0.000
0.000 4.804 0.000
0.000 0.000 4.804
Cd Mn Co
3 1 1
Cartesian
0.000 0.000 2.402 Cd
2.402 0.000 0.000 Cd
0.000 2.402 0.000 Cd
2.402 2.402 2.402 Mn
0.000 0.000 0.000 Co
```

Properties
* formation energy: 0.849 eV per atom

Material: MnCdCo
Method: DFT, PBEsol
State: relaxed

```
MnCdCo
1.0
-1.129 1.915 3.298
1.990 -0.551 3.399
2.261 2.920 1.476
Co Mn Cd
1 1 1
Cartesian
0.781 1.071 2.043 Co
0.000 0.000 0.000 Mn
1.561 2.142 4.087 Cd
```

Properties
* formation energy: 0.840 eV per atom
* polymorph energy (0 for the lowest one): 0 meV per atom

Material: MnCdCo2
Method: DFT, PBEsol
State: relaxed

```
MnCdCo2
1.0
-3.503 -1.377 -1.873
-2.146 -3.213 1.657
-3.745 0.673 1.790
Cd Mn Co
1 1 2
Cartesian
-4.697 -1.958 0.787 Cd
-2.349 -0.979 0.393 Mn
-7.046 -2.937 1.180 Co
0.000 0.000 0.000 Co
```

Properties
* formation energy: 0.392 eV per atom

Material: CdCoMo2
Method: DFT, PBEsol
State: relaxed

```
CdCoMo2
1.0
-3.382 -1.505 1.292
1.151 -3.569 -1.144
2.705 1.940 3.390
Cd Co Mo
1 1 2
Cartesian
-1.115 -2.537 0.074 Cd
1.371 -2.083 1.160 Co
0.000 0.000 0.000 Mo
-0.896 -1.051 2.378 Mo
```

Properties
* formation energy: 0.490 eV per atom

Material: CdCo2Mo
Method: DFT, PBEsol
State: relaxed

```
CdCo2Mo
1.0
-2.147 0.696 -1.442
-2.237 -2.750 2.004
-0.085 3.048 4.087
Cd Co Mo
1 2 1
Cartesian
-2.103 1.509 3.860 Cd
-2.627 0.246 1.543 Co
-1.810 2.505 1.417 Co
-0.222 0.652 0.646 Mo
```

Properties
* formation energy: 0.341 eV per atom

Material: CdCoMo2
Method: DFT, PBEsol
State: relaxed

```
CdCoMo2
1.0
2.731 0.000 0.000
1.365 2.365 0.000
1.365 0.788 9.220
Mo Cd Co
2 1 1
Cartesian
1.365 0.788 2.044 Mo
4.096 2.365 7.176 Mo
2.731 1.577 4.610 Cd
0.000 0.000 0.000 Co
```

Properties
* formation energy: 0.374 eV per atom

Material: CdCoMo2
Method: DFT, PBEsol
State: relaxed

```
CdCoMo2
1.0
-3.381 -0.963 -1.247
1.453 -3.041 -1.591
-0.689 -2.189 3.557
Mo Cd Co
2 1 1
Cartesian
-0.964 -2.002 -1.419 Mo
0.000 0.000 0.000 Mo
-2.035 -1.576 1.155 Cd
0.382 -2.615 0.983 Co
```

Properties
* formation energy: 0.409 eV per atom

Material: CdCo2Mo
Method: DFT, PBEsol
State: relaxed

```
CdCo2Mo
1.0
-0.129 2.196 -1.610
-1.694 0.027 -2.135
-6.767 3.993 3.681
Cd Mo Co
1 1 2
Cartesian
0.000 0.000 0.000 Cd
-4.295 3.108 -0.032 Mo
-2.248 1.607 0.064 Co
-6.342 4.609 -0.128 Co
```

Properties
* formation energy: 0.324 eV per atom

Material: CdCoMo2Os
Method: DFT, PBEsol
State: relaxed

```
CdCoMo2Os
1.0
4.388 0.000 0.000
0.000 4.388 0.000
0.000 0.000 4.444
Mo Co Cd Os
2 1 1 1
Cartesian
2.194 0.000 0.000 Mo
0.000 2.194 0.000 Mo
0.000 0.000 0.000 Co
2.194 2.194 2.222 Cd
0.000 0.000 2.222 Os
```

Properties
* formation energy: 1.300 eV per atom

Material: Cd3CoN
Method: DFT, PBEsol
State: relaxed

```
Cd3CoN
1.0
-2.686 2.891 2.039
1.244 -1.625 3.942
3.312 2.955 0.173
Cd Co N
3 1 1
Cartesian
1.656 1.478 0.087 Cd
0.622 -0.813 1.971 Cd
-1.343 1.446 1.020 Cd
0.935 2.111 3.077 Co
0.000 0.000 0.000 N
```

Properties
* uncorrected formation energy: 869 meV per atom

Material: CdCo3N
Method: DFT, PBEsol
State: relaxed

```
CdCo3N
1.0
3.786 0.000 0.000
0.000 3.786 0.000
0.000 0.000 3.786
Cd Co N
1 3 1
Cartesian
1.893 1.893 1.893 Cd
1.893 0.000 0.000 Co
0.000 0.000 1.893 Co
0.000 1.893 0.000 Co
0.000 0.000 0.000 N
```

Properties
* uncorrected formation energy: -69 meV per atom

Material: Cd2CoNO
Method: DFT, PBEsol
State: relaxed

```
Cd2CoNO
1.0
3.825 0.000 0.000
0.000 4.355 0.000
0.000 0.000 4.355
N Cd Co O
1 2 1 1
Cartesian
0.000 0.000 0.000 N
0.000 2.178 0.000 Cd
0.000 0.000 2.178 Cd
1.913 2.178 2.178 Co
1.913 0.000 0.000 O
```

Properties
* uncorrected formation energy: 1105 meV per atom

Material: CdCoSeN2
Method: DFT, PBEsol
State: relaxed

```
CdCoSeN2
1.0
4.038 0.000 0.000
0.000 4.038 0.000
0.000 0.000 5.609
N Se Cd Co
2 1 1 1
Cartesian
0.000 2.019 0.000 N
2.019 0.000 0.000 N
0.000 0.000 2.805 Se
0.000 0.000 0.000 Cd
2.019 2.019 2.805 Co
```

Properties
* uncorrected formation energy: 2082 meV per atom

Material: Nb2CdCo2
Method: DFT, PBEsol
State: relaxed

```
Nb2CdCo2
1.0
2.984 0.000 0.000
0.000 7.042 0.000
0.000 0.000 7.042
Cd Co Nb
2 4 4
Cartesian
0.000 3.521 3.521 Cd
0.000 0.000 0.000 Cd
0.000 0.891 2.630 Co
0.000 2.630 6.151 Co
0.000 6.151 4.412 Co
0.000 4.412 0.891 Co
1.492 1.181 4.702 Nb
1.492 5.861 2.340 Nb
1.492 4.702 5.861 Nb
1.492 2.340 1.181 Nb
```

Properties
* formation energy: -0.083 eV per atom

Material: CdCoNi
Method: DFT, PBEsol
State: relaxed

```
CdCoNi
1.0
2.722 0.000 0.000
0.000 2.722 0.000
-1.361 -1.361 5.338
Cd Co Ni
1 1 1
Cartesian
0.000 0.000 0.007 Cd
0.000 0.000 3.364 Co
1.361 1.361 1.967 Ni
```

Properties
* formation energy: 0.186 eV per atom

Material: CdCoNi6
Method: DFT, PBEsol
State: relaxed

```
CdCoNi6
1.0
-4.754 -2.400 -3.126
5.089 -3.339 -1.046
-2.240 -5.899 7.935
Co Cd Ni
4 4 24
Cartesian
-2.342 -2.630 -2.617 Co
-0.386 -4.326 -0.127 Co
-1.520 -7.312 3.890 Co
2.677 -3.109 -1.555 Co
-0.554 -1.458 1.962 Cd
1.570 -6.060 2.415 Cd
-3.476 -5.578 1.348 Cd
-1.687 -4.441 5.974 Cd
0.025 -8.078 2.205 Ni
-1.442 -2.064 -0.411 Ni
-1.120 -2.950 3.968 Ni
0.622 -6.505 0.090 Ni
1.247 -5.069 -1.886 Ni
2.032 -4.502 0.309 Ni
-2.370 -7.849 1.699 Ni
-0.464 -9.575 4.174 Ni
-2.992 -9.334 3.640 Ni
-0.133 -5.361 4.180 Ni
0.000 0.000 0.000 Ni
-1.773 -6.277 -0.416 Ni
-2.528 -5.133 3.673 Ni
-0.625 -6.810 6.184 Ni
0.464 -3.789 2.065 Ni
-1.931 -3.560 1.558 Ni
1.086 -2.305 0.123 Ni
0.167 -2.869 -2.086 Ni
-2.763 -4.044 -0.705 Ni
-3.937 -7.136 3.454 Ni
-1.281 -4.828 -2.421 Ni
-3.153 -6.569 5.649 Ni
-0.953 -5.819 1.882 Ni
0.857 -7.594 4.468 Ni
```

Properties
* formation energy: 0.082 eV per atom

Material: CdCoNi2
Method: DFT, PBEsol
State: relaxed

```
CdCoNi2
1.0
-1.940 -1.657 -0.695
2.761 -2.053 -2.810
0.350 -2.056 3.922
Cd Ni Co
1 2 1
Cartesian
0.586 -2.883 0.208 Cd
0.175 -1.028 1.961 Ni
1.381 -1.026 -1.405 Ni
-0.970 -0.829 -0.348 Co
```

Properties
* formation energy: 0.227 eV per atom
* polymorph energy (0 for the lowest one): 60 meV per atom

Material: CdCoNi2
Method: DFT, PBEsol
State: relaxed

```
CdCoNi2
1.0
2.705 0.000 0.000
0.000 2.705 0.000
0.000 0.000 6.810
Cd Co Ni
1 1 2
Cartesian
0.000 0.000 3.387 Cd
1.352 1.352 5.379 Co
0.000 0.000 6.789 Ni
1.352 1.352 1.469 Ni
```

Properties
* formation energy: 0.166 eV per atom
* polymorph energy (0 for the lowest one): 0 meV per atom

Material: CdCoNi2
Method: DFT, PBEsol
State: relaxed

```
CdCoNi2
1.0
2.632 0.000 0.000
-1.316 4.232 -0.002
0.000 -0.856 4.490
Co Ni Cd
1 2 1
Cartesian
1.316 1.853 0.928 Co
0.000 -0.002 0.047 Ni
0.000 1.527 3.478 Ni
1.316 -0.430 2.278 Cd
```

Properties
* formation energy: 0.196 eV per atom
* polymorph energy (0 for the lowest one): 30 meV per atom

Material: CdCoNiS2
Method: DFT, PBEsol
State: relaxed

```
CdCoNiS2
1.0
4.702 0.000 0.000
0.000 4.805 0.000
0.000 0.000 4.805
S Ni Co Cd
2 1 1 1
Cartesian
0.000 0.000 2.402 S
0.000 2.402 0.000 S
2.351 2.402 2.402 Ni
2.351 0.000 0.000 Co
0.000 0.000 0.000 Cd
```

Properties
* uncorrected formation energy: 1580 meV per atom

Number 1: E_tot -3.37 eV/atom. Number 2: E_tot -5.39 eV/atom. Number 3: E_tot -6.22 eV/atom. Number 4: E_tot -7.63 eV/atom. Number 5: E_tot -6.77 eV/atom. Number 6: E_tot -7.74 eV/atom. Number 7: E_tot -7.71 eV/atom. Number 8: E_tot -6.79 eV/atom. Number 9: E_tot -7.64 eV/atom. Number 10: E_tot -3.10 eV/atom. Number 11: E_tot -6.66 eV/atom. Number 12: E_tot -3.68 eV/atom. Number 13: E_tot -3.89 eV/atom. Number 14: E_tot -7.75 eV/atom. Number 15: E_tot -4.84 eV/atom. Number 16: E_tot -5.65 eV/atom. Number 17: E_tot -5.09 eV/atom. Number 18: E_tot -5.15 eV/atom. Number 19: E_tot -5.12 eV/atom. Number 20: E_tot -3.19 eV/atom.